No. 1
Below is a relaxed structure of BeCuSn2, with properties calculated at the GGA-PBE level.

Lattice parameters (Å, degrees): 4.454 4.454 16.348 90.00 90.00 90.00
Fractional coordinates of all 16 atoms:
Be (0.000, 0.000, 0.000)
Be (0.000, 0.500, 0.250)
Be (0.500, 0.000, 0.750)
Be (0.500, 0.500, 0.500)
Cu (0.000, 0.000, 0.500)
Cu (0.000, 0.500, 0.750)
Cu (0.500, 0.000, 0.250)
Cu (0.500, 0.500, 0.000)
Sn (0.242, 0.250, 0.125)
Sn (0.250, 0.742, 0.375)
Sn (0.250, 0.758, 0.875)
Sn (0.258, 0.250, 0.625)
Sn (0.742, 0.750, 0.625)
Sn (0.750, 0.242, 0.875)
Sn (0.750, 0.258, 0.375)
Sn (0.758, 0.750, 0.125)

Output
The total magnetization is 0.00 μB per cell. The value obtained for the formation energy is 1.35 eV/f.u. As for the space-group type: I-42d, No. 122.

=====

No. 2
Below is a relaxed structure of Cd2Hg2Pb3, with properties calculated at the GGA-PBE level.

Lattice parameters (Å, degrees): 11.739 3.335 11.112 90.00 117.10 90.00
Fractional coordinates of all 14 atoms:
Cd (0.000, 0.000, 0.000)
Cd (0.249, 0.500, 0.095)
Cd (0.500, 0.500, 0.000)
Cd (0.749, 0.000, 0.095)
Hg (0.010, 0.500, 0.240)
Hg (0.234, 0.000, 0.855)
Hg (0.510, 0.000, 0.240)
Hg (0.734, 0.500, 0.855)
Pb (0.145, 0.500, 0.560)
Pb (0.298, 0.000, 0.369)
Pb (0.446, 0.000, 0.724)
Pb (0.645, 0.000, 0.560)
Pb (0.798, 0.500, 0.369)
Pb (0.946, 0.500, 0.724)

Output
The total magnetization is 0.00 μB per cell. The value obtained for the formation energy is 0.31 eV/f.u. As for the space-group type: Cm, No. 8.

=====

No. 3
Below is a relaxed structure of PuIn3Br6, with properties calculated at the GGA-PBE level.

Lattice parameters (Å, degrees): 7.787 8.663 13.205 90.00 121.96 90.00
Fractional coordinates of all 20 atoms:
Pu (0.000, 0.000, 0.000)
Pu (0.000, 0.500, 0.500)
In (0.302, 0.081, 0.774)
In (0.302, 0.419, 0.274)
In (0.500, 0.000, 0.500)
In (0.500, 0.500, 0.000)
In (0.698, 0.581, 0.726)
In (0.698, 0.919, 0.226)
Br (0.088, 0.068, 0.237)
Br (0.088, 0.432, 0.737)
Br (0.247, 0.725, 0.083)
Br (0.247, 0.775, 0.583)
Br (0.355, 0.164, 0.041)
Br (0.355, 0.336, 0.541)
Br (0.645, 0.664, 0.459)
Br (0.645, 0.836, 0.959)
Br (0.753, 0.225, 0.417)
Br (0.753, 0.275, 0.917)
Br (0.912, 0.568, 0.263)
Br (0.912, 0.932, 0.763)

Output
The value obtained for the energy above the most stable polymorph in this dataset is 0.00 kJ/mol of atoms. The total magnetization is 10.00 μB per cell. The uncorrected formation energy comes out at -1.004 eV per atom. As for the space-group type: P2_1/c, No. 14.

=====

No. 4
Below is a relaxed structure of SmTm2Re, with properties calculated at the GGA-PBE level.

Lattice parameters (Å, degrees): 3.210 3.210 33.857 90.00 90.00 120.00
Fractional coordinates of all 12 atoms:
Sm (0.000, 0.000, 0.000)
Sm (0.333, 0.667, 0.667)
Sm (0.667, 0.333, 0.333)
Tm (0.000, 0.000, 0.421)
Tm (0.000, 0.000, 0.579)
Tm (0.333, 0.667, 0.088)
Tm (0.333, 0.667, 0.245)
Tm (0.667, 0.333, 0.755)
Tm (0.667, 0.333, 0.912)
Re (0.000, 0.000, 0.500)
Re (0.333, 0.667, 0.167)
Re (0.667, 0.333, 0.833)

Output
The total magnetization is 0.72 μB per cell. The value obtained for the formation energy is 3.06 eV/f.u. As for the space-group type: R-3m, No. 166.

=====

No. 5
Below is a relaxed structure of CaNb3P, with properties calculated at the GGA-PBE level.

Lattice parameters (Å, degrees): 4.738 4.738 4.738 90.00 90.00 90.00
Fractional coordinates of all 5 atoms:
Ca (0.000, 0.000, 0.000)
Nb (0.000, 0.000, 0.500)
Nb (0.000, 0.500, 0.000)
Nb (0.500, 0.000, 0.000)
P (0.500, 0.500, 0.500)

Output
The value obtained for the energy above the most stable polymorph in this dataset is 209.65 kJ/mol of atoms. The total magnetization is 0.34 μB per cell. The value obtained for the formation energy is 11.83 eV/f.u. As for the space-group type: Pm-3m, No. 221.

=====

No. 6
Below is a relaxed structure of PaInGa, with properties calculated at the GGA-PBE level.

Lattice parameters (Å, degrees): 4.836 14.150 3.977 90.00 90.00 90.00
Fractional coordinates of all 12 atoms:
Pa (0.000, 0.070, 0.250)
Pa (0.000, 0.930, 0.750)
Pa (0.500, 0.430, 0.750)
Pa (0.500, 0.570, 0.250)
In (0.000, 0.263, 0.750)
In (0.000, 0.737, 0.250)
In (0.500, 0.237, 0.250)
In (0.500, 0.763, 0.750)
Ga (0.000, 0.431, 0.250)
Ga (0.000, 0.569, 0.750)
Ga (0.500, 0.069, 0.750)
Ga (0.500, 0.931, 0.250)

Output
The value obtained for the energy above the most stable polymorph in this dataset is 0.00 kJ/mol of atoms. The total magnetization is 0.00 μB per cell. The value obtained for the formation energy is -0.36 eV/f.u. As for the space-group type: Cmcm, No. 63.

=====

No. 7
Below is a relaxed structure of LaNi3, with properties calculated at the GGA-PBE level.

Lattice parameters (Å, degrees): 8.060 8.060 3.458 90.00 90.00 120.00
Fractional coordinates of all 12 atoms:
La (0.000, 0.000, 0.000)
La (0.333, 0.667, 0.667)
La (0.667, 0.333, 0.333)
Ni (0.000, 0.500, 0.000)
Ni (0.167, 0.333, 0.333)
Ni (0.167, 0.833, 0.333)
Ni (0.333, 0.167, 0.667)
Ni (0.500, 0.000, 0.000)
Ni (0.500, 0.500, 0.000)
Ni (0.667, 0.833, 0.333)
Ni (0.833, 0.167, 0.667)
Ni (0.833, 0.667, 0.667)

Output
The total magnetization is 0.00 μB per cell. The value obtained for the formation energy is 0.49 eV/f.u. As for the space-group type: R-3m, No. 166.

=====

No. 8
Below is a relaxed structure of Rb2Hg3Pd, with properties calculated at the GGA-PBE level.

Lattice parameters (Å, degrees): 6.245 12.706 4.792 90.00 90.00 90.00
Fractional coordinates of all 12 atoms:
Rb (0.220, 0.212, 0.000)
Rb (0.280, 0.712, 0.500)
Rb (0.720, 0.288, 0.500)
Rb (0.780, 0.788, 0.000)
Hg (0.000, 0.000, 0.500)
Hg (0.212, 0.430, 0.500)
Hg (0.288, 0.930, 0.000)
Hg (0.500, 0.500, 0.000)
Hg (0.712, 0.070, 0.000)
Hg (0.788, 0.570, 0.500)
Pd (0.000, 0.500, 0.000)
Pd (0.500, 0.000, 0.500)

Output
The value obtained for the energy above the most stable polymorph in this dataset is 0.24 kJ/mol of atoms. The total magnetization is 0.00 μB per cell. The value obtained for the formation energy is -1.10 eV/f.u. As for the space-group type: Pnnm, No. 58.

=====

No. 9
Below is a relaxed structure of MgPWCl2, with properties calculated at the GGA-PBE level.

Lattice parameters (Å, degrees): 4.853 4.853 4.811 90.00 90.00 90.00
Fractional coordinates of all 5 atoms:
Mg (0.000, 0.000, 0.000)
P (0.500, 0.500, 0.000)
W (0.500, 0.500, 0.500)
Cl (0.000, 0.500, 0.500)
Cl (0.500, 0.000, 0.500)

Output
The value obtained for the energy above the most stable polymorph in this dataset is 0.00 kJ/mol of atoms. The total magnetization is 1.56 μB per cell. The uncorrected formation energy comes out at 0.114 eV per atom. As for the space-group type: P4/mmm, No. 123.

=====

No. 10
Below is a relaxed structure of VCdSnMo2, with properties calculated at the GGA-PBE level.

Lattice parameters (Å, degrees): 4.995 4.995 4.971 90.00 90.00 90.00
Fractional coordinates of all 5 atoms:
V (0.000, 0.000, 0.000)
Cd (0.500, 0.500, 0.000)
Sn (0.500, 0.500, 0.500)
Mo (0.000, 0.500, 0.500)
Mo (0.500, 0.000, 0.500)

Output
The total magnetization is 3.11 μB per cell. The value obtained for the formation energy is 10.88 eV/f.u. As for the space-group type: P4/mmm, No. 123.

=====

No. 11
Below is a relaxed structure of Ba4Be, with properties calculated at the GGA-PBE level.

Lattice parameters (Å, degrees): 7.947 7.947 7.947 90.00 90.00 90.00
Fractional coordinates of all 10 atoms:
Ba (0.250, 0.250, 0.250)
Ba (0.250, 0.250, 0.750)
Ba (0.250, 0.750, 0.250)
Ba (0.250, 0.750, 0.750)
Ba (0.750, 0.250, 0.250)
Ba (0.750, 0.250, 0.750)
Ba (0.750, 0.750, 0.250)
Ba (0.750, 0.750, 0.750)
Be (0.000, 0.000, 0.000)
Be (0.500, 0.500, 0.500)

Output
The value obtained for the energy above the most stable polymorph in this dataset is 15.77 kJ/mol of atoms. The total magnetization is 0.00 μB per cell. The value obtained for the formation energy is 1.96 eV/f.u. As for the space-group type: Im-3m, No. 229.

=====

No. 12
Below is a relaxed structure of CaSc2Pt3, with properties calculated at the GGA-PBE level.

Lattice parameters (Å, degrees): 3.313 3.313 10.429 90.00 90.00 90.00
Fractional coordinates of all 6 atoms:
Ca (0.000, 0.000, 0.000)
Sc (0.000, 0.000, 0.338)
Sc (0.000, 0.000, 0.662)
Pt (0.500, 0.500, 0.197)
Pt (0.500, 0.500, 0.500)
Pt (0.500, 0.500, 0.803)

Output
The total magnetization is 0.00 μB per cell. The value obtained for the formation energy is -6.95 eV/f.u. As for the space-group type: P4/mmm, No. 123.